# 1
Compound: UNi12B5
Source: the Alexandria database
Functional: PBE-GGA
Structure: relaxed

The structure in POSCAR format:
```
UNi12B5
1.0
-3.353 3.490 3.864
3.353 -3.490 3.864
3.353 3.490 -3.864
U Ni B
1 12 5
Cartesian
0.000 0.000 0.000
3.353 -1.269 2.474
2.145 1.626 0.000
4.561 1.626 0.000
2.124 3.490 -1.742
1.230 0.000 2.122
0.000 2.221 1.390
3.353 1.269 2.474
2.124 3.490 1.742
1.230 0.000 5.605
-1.208 1.863 3.864
1.208 1.863 3.864
0.000 4.758 1.390
3.353 0.000 0.854
0.953 3.490 0.000
0.000 0.000 3.864
2.400 0.000 3.864
0.000 3.490 3.010
```

Computed properties:
Calculated formation energy = -0.137 eV per atom
DOS(E_F) = 10.2 states/eV per cell
DFT total energy = -6.474 eV/atom
Crystal system = orthorhombic
Space group = Immm, No. 71

=====

# 2
Compound: Mg2Os
Source: the Alexandria database
Functional: PBE-GGA
Structure: relaxed

The structure in POSCAR format:
```
Mg2Os
1.0
7.962 0.000 0.000
-3.981 6.895 0.000
0.000 0.000 2.728
Mg Os
6 3
Cartesian
-1.213 2.101 0.000
-2.539 4.397 1.364
2.426 0.000 0.000
1.442 2.498 1.364
5.077 0.000 1.364
2.768 4.794 0.000
0.000 0.000 1.364
0.000 4.597 0.000
3.981 2.298 0.000
```

Computed properties:
Calculated formation energy = 0.155 eV per atom
DOS(E_F) = 3.9 states/eV per cell
DFT total energy = -4.651 eV/atom
Crystal system = hexagonal
Space group = P-62m, No. 189

=====

# 3
Compound: YRe4Ag
Source: the Alexandria database
Functional: PBE-GGA
Structure: relaxed

The structure in POSCAR format:
```
YRe4Ag
1.0
0.000 3.769 3.769
3.769 0.000 3.769
3.769 3.769 0.000
Y Re Ag
1 4 1
Cartesian
0.000 0.000 0.000
2.834 2.834 2.834
4.705 4.705 2.834
4.705 2.834 4.705
2.834 4.705 4.705
5.654 5.654 5.654
```

Computed properties:
Calculated formation energy = 0.224 eV per atom
DOS(E_F) = 4.7 states/eV per cell
DFT total energy = -9.627 eV/atom
Crystal system = cubic
Space group = F-43m, No. 216

=====

# 4
Compound: ErSc3Pd4
Source: the Alexandria database
Functional: PBE-GGA
Structure: relaxed

The structure in POSCAR format:
```
ErSc3Pd4
1.0
9.588 0.000 0.000
0.000 6.563 0.000
0.000 0.000 4.793
Er Sc Pd
2 6 8
Cartesian
0.000 0.000 0.000
4.794 0.000 0.000
0.000 3.282 0.000
2.397 0.000 2.394
2.397 3.282 2.393
4.794 3.282 0.000
7.191 0.000 2.399
7.191 3.282 2.400
0.000 1.696 2.397
0.000 4.867 2.397
2.397 1.696 4.788
2.397 4.867 4.788
4.794 1.696 2.397
4.794 4.867 2.397
7.191 1.696 0.005
7.191 4.867 0.005
```

Computed properties:
Calculated formation energy = -0.898 eV per atom
DOS(E_F) = 6.7 states/eV per cell
DFT total energy = -6.439 eV/atom
Crystal system = orthorhombic
Space group = Pmma, No. 51

=====

# 5
Compound: Be2VMo2Os5
Source: the Alexandria database
Functional: PBE-GGA
Structure: relaxed

The structure in POSCAR format:
```
Be2VMo2Os5
1.0
9.373 0.000 0.000
0.000 9.373 0.000
0.000 0.000 2.999
Be V Mo Os
4 2 4 10
Cartesian
1.161 3.525 0.000
3.525 8.211 0.000
5.848 1.161 0.000
8.211 5.848 0.000
0.000 0.000 0.000
4.686 4.686 0.000
1.652 6.338 0.000
3.035 1.652 0.000
6.338 7.721 0.000
7.721 3.035 0.000
0.000 4.686 1.500
0.626 1.946 1.500
1.946 8.747 1.500
2.740 4.060 1.500
4.060 6.633 1.500
4.686 0.000 1.500
5.312 2.740 1.500
6.633 5.312 1.500
7.426 0.626 1.500
8.747 7.426 1.500
```

Computed properties:
Calculated formation energy = -0.132 eV per atom
DOS(E_F) = 6.4 states/eV per cell
DFT total energy = -9.571 eV/atom
Crystal system = tetragonal
Space group = P4/mbm, No. 127

=====

# 6
Compound: Cs4SbO4
Source: the Alexandria database
Functional: PBE-GGA
Structure: relaxed

The structure in POSCAR format:
```
Cs4SbO4
1.0
7.828 0.000 0.000
0.000 7.828 0.000
0.000 0.000 9.870
Cs Sb O
8 2 8
Cartesian
0.095 1.957 0.707
1.957 0.095 5.642
1.957 3.819 5.642
3.819 1.957 0.707
4.010 5.871 9.163
5.871 4.010 4.228
5.871 7.733 4.228
7.733 5.871 9.163
1.957 5.871 2.468
5.871 1.957 7.403
0.429 5.871 3.677
1.957 4.343 1.258
1.957 7.400 1.258
3.486 5.871 3.677
4.343 1.957 6.193
5.871 0.429 8.612
5.871 3.486 8.612
7.400 1.957 6.193
```

Computed properties:
ΔE_f (raw) = -1.31 eV per atom
DOS(E_F) = 4.8 states/eV per cell
DFT total energy = -4.352 eV/atom
Crystal system = tetragonal
Space group = P4_2/nmc, No. 137

=====

# 7
Compound: Tb3Sm4DyS8
Source: the Alexandria database
Functional: PBE-GGA
Structure: relaxed

The structure in POSCAR format:
```
Tb3Sm4DyS8
1.0
3.957 2.284 6.509
-3.957 2.284 6.509
0.000 -4.569 6.509
Tb Sm Dy S
3 4 1 8
Cartesian
-1.978 -1.142 6.509
-1.978 1.142 13.017
0.000 2.284 6.509
-3.957 0.000 9.763
-1.978 1.142 3.254
1.978 1.142 3.254
0.000 0.000 9.763
0.000 0.000 0.000
0.000 -2.292 8.076
-1.985 1.146 8.076
-1.985 -1.146 11.450
0.000 0.000 4.936
0.000 0.000 14.590
1.985 1.146 8.076
1.985 -1.146 11.450
0.000 2.292 11.450
```

Computed properties:
ΔE_f (raw) = -2.01 eV per atom
DOS(E_F) = 8.7 states/eV per cell
DFT total energy = -6.412 eV/atom
Crystal system = trigonal
Space group = R-3m, No. 166

=====

# 8
Compound: Mn4Hg2Bi
Source: the Alexandria database
Functional: PBE-GGA
Structure: relaxed

The structure in POSCAR format:
```
Mn4Hg2Bi
1.0
-2.543 2.543 6.907
2.543 -2.543 6.907
2.543 2.543 -6.907
Mn Hg Bi
4 2 1
Cartesian
2.543 0.000 0.000
0.000 0.000 2.767
0.000 2.543 0.000
0.000 0.000 11.047
0.000 0.000 5.373
0.000 0.000 8.440
0.000 0.000 0.000
```

Computed properties:
Calculated formation energy = 0.924 eV per atom
DOS(E_F) = 5.3 states/eV per cell
DFT total energy = -4.957 eV/atom
Crystal system = tetragonal
Space group = I4/mmm, No. 139

=====

# 9
Compound: SmScIr4
Source: the Alexandria database
Functional: PBE-GGA
Structure: relaxed

The structure in POSCAR format:
```
SmScIr4
1.0
0.000 3.768 3.768
3.768 0.000 3.768
3.768 3.768 0.000
Sm Sc Ir
1 1 4
Cartesian
0.000 0.000 0.000
1.884 1.884 1.884
4.707 2.828 2.828
2.828 4.707 2.828
2.828 2.828 4.707
4.707 4.707 4.707
```

Computed properties:
Calculated formation energy = -0.725 eV per atom
DOS(E_F) = 5.3 states/eV per cell
DFT total energy = -8.474 eV/atom
Crystal system = cubic
Space group = F-43m, No. 216

=====

# 10
Compound: YNbSi3
Source: the Alexandria database
Functional: PBE-GGA
Structure: relaxed

The structure in POSCAR format:
```
YNbSi3
1.0
4.806 0.000 0.000
0.000 4.806 0.000
0.000 0.000 4.806
Y Nb Si
1 1 3
Cartesian
0.000 0.000 0.000
2.403 2.403 2.403
0.000 2.403 2.403
2.403 0.000 2.403
2.403 2.403 0.000
```

Computed properties:
ΔE_f (raw) = 0.12 eV per atom
DOS(E_F) = 2.7 states/eV per cell
DFT total energy = -6.436 eV/atom
Crystal system = cubic
Space group = Pm-3m, No. 221

=====

# 11
Compound: ZnAgMo2
Source: the Alexandria database
Functional: PBE-GGA
Structure: relaxed

The structure in POSCAR format:
```
ZnAgMo2
1.0
-1.627 2.317 4.309
1.627 -2.317 4.309
1.627 2.317 -4.309
Zn Ag Mo
1 1 2
Cartesian
0.000 0.000 0.000
0.000 2.317 2.206
1.627 0.000 2.275
0.000 0.000 4.151
```

Computed properties:
Calculated formation energy = 0.340 eV per atom
DOS(E_F) = 2.0 states/eV per cell
DFT total energy = -6.107 eV/atom
Crystal system = orthorhombic
Space group = Imm2, No. 44